# 1
Compound: Be2AlPbSe
Source: Alexandria
Functional: PBE
Structure: relaxed

The space group is P4/mmm (No. 123) and the conventional cell measures 4.567, 4.567 and 5.631 Å, with angles of 90.00, 90.00 and 90.00 degrees. The distinct sites, in fractional coordinates, are Be at (0.000, 0.500, 0.000), Al at (0.000, 0.000, 0.500), Pb at (0.000, 0.000, 0.000) and Se at (0.500, 0.500, 0.500).

The value obtained for the formation energy (no corrections) is 4.62 eV per formula unit.

***

# 2
Compound: BeAlSi2Pb
Source: Alexandria
Functional: PBE
Structure: relaxed

The space group is P4/mmm (No. 123) and the conventional cell measures 5.492, 5.492 and 4.400 Å, with angles of 90.00, 90.00 and 90.00 degrees. The distinct sites, in fractional coordinates, are Be at (0.000, 0.000, 0.000), Al at (0.500, 0.500, 0.000), Si at (0.000, 0.500, 0.500) and Pb at (0.000, 0.000, 0.500).

The value obtained for the formation energy (no corrections) is 7.34 eV per formula unit.

***

# 3
Compound: BeAl2Pd6
Source: Alexandria
Functional: PBE
Structure: relaxed

The space group is C2/m (No. 12) and the conventional cell measures 12.808, 5.750 and 4.024 Å, with angles of 90.00, 108.12 and 90.00 degrees. The distinct sites, in fractional coordinates, are Be at (0.000, 0.000, 0.000), Al at (0.165, 0.500, 0.664), Pd at (0.000, 0.238, 0.500) and Pd at (0.162, 0.242, 0.162).

The formation energy is -0.563 eV/atom.

***

# 4
Compound: Be5AlPd6
Source: Alexandria
Functional: PBE
Structure: relaxed

The space group is P2/m (No. 10) and the conventional cell measures 4.058, 5.809 and 6.419 Å, with angles of 90.00, 108.54 and 90.00 degrees. The distinct sites, in fractional coordinates, are Be at (0.000, 0.000, 0.000), Be at (0.334, 0.500, 0.663), Be at (0.336, 0.000, 0.669), Al at (0.000, 0.500, 0.000), Pd at (0.169, 0.246, 0.340) and Pd at (0.500, 0.241, 0.000).

The formation energy is -0.608 eV/atom.

***

Question: Which formula does entry 4 have?
Answer: Be5AlPd6

***

Question: Which formula does entry 4 have?
Answer: Be5AlPd6